[1]
DFT (GGA-PBE) results for a geometry-optimized BaRhW2 structure.

```
4
Lattice="3.4133 0.0000 0.0000 0.0000 3.4133 0.0000 0.0000 0.0000 7.7595" Properties=species:S:1:pos:R:3 pbc="T T T"
Ba 0.0000 0.0000 0.0000
Rh 0.0000 0.0000 3.8797
W 1.7067 1.7067 2.6956
W 1.7067 1.7067 5.0638
```

Values from the calculation:
- Formation energy from the elements: 3.4 eV per formula unit
- Crystal system: tetragonal
- E above lowest polymorph: 0.260 eV/atom

[2]
DFT (GGA-PBE) results for a geometry-optimized NdYGaPt structure.

```
4
Lattice="0.0000 3.6076 3.6076 3.6076 0.0000 3.6076 3.6076 3.6076 0.0000" Properties=species:S:1:pos:R:3 pbc="T T T"
Nd 0.0000 0.0000 0.0000
Y 3.6076 3.6076 3.6076
Ga 5.4113 5.4113 5.4113
Pt 1.8038 1.8038 1.8038
```

Values from the calculation:
- Formation energy from the elements: -3.2 eV per formula unit
- Crystal system: cubic
- E above lowest polymorph: 0.093 eV/atom

| no. | final energy (eV/atom) |
| --- | --- |
| 1 | -7.949 |
| 2 | -5.869 |